{"formula": "ZrTaMo14", "functional": "PBE", "state": "optimized geometry", "formation_enthalpy_0k_ev_per_atom": -0.06, "space_group": "No. 65", "lattice": [[3.188, -4.517, 0.000], [3.188, 4.517, 0.000], [0.000, 0.000, 9.033]], "species": ["Zr", "Ta", "Mo", "Mo", "Mo", "Mo", "Mo", "Mo", "Mo", "Mo", "Mo", "Mo", "Mo", "Mo", "Mo", "Mo"], "fractional_positions": [[0.000, 0.000, 0.000], [0.500, 0.500, 0.000], [0.000, 0.000, 0.500], [0.000, 0.500, 0.000], [0.000, 0.500, 0.500], [0.251, 0.749, 0.253], [0.251, 0.749, 0.747], [0.252, 0.252, 0.258], [0.252, 0.252, 0.742], [0.500, 0.000, 0.000], [0.500, 0.000, 0.500], [0.500, 0.500, 0.500], [0.748, 0.748, 0.258], [0.748, 0.748, 0.742], [0.749, 0.251, 0.253], [0.749, 0.251, 0.747]]}